Record 1
Computed, not measured: an optimized crystal structure of TlP4Ru at the PBE level of DFT.

Its final energy is -4.7079 eV per atom. The calculation puts the volume at 426.54 Å³ per cell.

The structure belongs to space group F-43m (No. 216); the cell edges are 7.528, 7.528 and 7.528 Å and the angles 90.00°, 90.00° and 90.00°. The asymmetric unit holds Tl at (0.000, 0.000, 0.000), P at (0.140, 0.140, 0.640) and Ru at (0.250, 0.250, 0.250).

***

Record 2
Computed, not measured: an optimized crystal structure of Sm2PuCu at the PBE level of DFT.

Its final energy is -6.9377 eV per atom. For the energy above the most stable polymorph in this dataset, the calculation gives 0.00 eV/f.u. The calculation puts the volume at 105.86 Å³ per cell.

The structure belongs to space group P4/mmm (No. 123); the cell edges are 3.521, 3.521 and 8.540 Å and the angles 90.00°, 90.00° and 90.00°. The asymmetric unit holds Sm at (0.000, 0.000, 0.207), Pu at (0.500, 0.500, 0.500) and Cu at (0.500, 0.500, 0.000).

***

Record 3
Computed, not measured: an optimized crystal structure of Er2ScTl at the PBE level of DFT.

Its final energy is -4.6310 eV per atom. For the energy above the most stable polymorph in this dataset, the calculation gives 0.00 eV/f.u. The calculation puts the volume at 216.07 Å³ per cell.

The structure belongs to space group P2_1/m (No. 11); the cell edges are 6.495, 5.067 and 6.769 Å and the angles 90.00°, 104.08° and 90.00°. The asymmetric unit holds Er at (0.141, 0.250, 0.408), Er at (0.158, 0.250, 0.920), Sc at (0.377, 0.750, 0.228) and Tl at (0.372, 0.750, 0.718).

***

Record 4
Computed, not measured: an optimized crystal structure of PmMgGe4 at the PBE level of DFT.

Its final energy is -4.3527 eV per atom. The calculation puts the volume at 504.49 Å³ per cell.

The structure belongs to space group F-43m (No. 216); the cell edges are 7.961, 7.961 and 7.961 Å and the angles 90.00°, 90.00° and 90.00°. The asymmetric unit holds Pm at (0.000, 0.000, 0.000), Mg at (0.250, 0.250, 0.250) and Ge at (0.124, 0.124, 0.624).

***

Record 5
Computed, not measured: an optimized crystal structure of VCu2Ni5 at the PBE level of DFT.

Its final energy is -5.8947 eV per atom. The calculation puts the volume at 180.55 Å³ per cell.

The structure belongs to space group I4/mmm (No. 139); the cell edges are 3.590, 3.590 and 14.012 Å and the angles 90.00°, 90.00° and 90.00°. The asymmetric unit holds V at (0.000, 0.000, 0.000), Cu at (0.000, 0.000, 0.252), Ni at (0.000, 0.000, 0.500) and Ni at (0.000, 0.500, 0.122).

***

Record 6
Computed, not measured: an optimized crystal structure of Li2AgSn at the PBE level of DFT.

Its final energy is -2.9502 eV per atom. The calculation puts the volume at 71.09 Å³ per cell.

The structure belongs to space group P4/mmm (No. 123); the cell edges are 3.346, 3.346 and 6.352 Å and the angles 90.00°, 90.00° and 90.00°. The asymmetric unit holds Li at (0.000, 0.000, 0.236), Ag at (0.500, 0.500, 0.000) and Sn at (0.500, 0.500, 0.500).

***

Per-record DFT formation energy, eV per atom: 0.839, 0.029, -0.175, -0.217, -0.117, -0.280